# 1
# Y3Tm5Sb8 | Alexandria via LeMat-Bulk | GGA-PBE | relaxed
# - raw formation energy (eV/f.u.) = -17.7
# - E_tot (eV per atom) = -5.774
data_Y3Tm5Sb8
_symmetry_space_group_name_H-M 'R -3 m'
_symmetry_Int_Tables_number 166
_symmetry_space_group_name_Hall '-R 3 2"'
_cell_length_a 8.7170
_cell_length_b 8.7170
_cell_length_c 21.3513
_cell_angle_alpha 90.00
_cell_angle_beta 90.00
_cell_angle_gamma 120.00
loop_
_atom_site_label
_atom_site_fract_x
_atom_site_fract_y
_atom_site_fract_z
_atom_site_occupancy
Y1 0.0000 0.5000 0.0000 1
Tm1 0.0000 0.0000 0.0000 1
Tm2 0.0000 0.0000 0.5000 1
Tm3 0.0000 0.5000 0.5000 1
Sb1 0.0000 0.0000 0.2487 1
Sb2 0.0018 0.5009 0.7509 1

# 2
# Y2Tm3Sb2 | Alexandria via LeMat-Bulk | GGA-PBE | relaxed
# - raw formation energy (eV/f.u.) = -4.5
# - E_tot (eV per atom) = -5.579
data_Y2Tm3Sb2
_symmetry_space_group_name_H-M 'C 1 2/m 1'
_symmetry_Int_Tables_number 12
_symmetry_space_group_name_Hall '-C 2y'
_cell_length_a 11.9336
_cell_length_b 4.2548
_cell_length_c 8.4248
_cell_angle_alpha 90.00
_cell_angle_beta 109.24
_cell_angle_gamma 90.00
loop_
_atom_site_label
_atom_site_fract_x
_atom_site_fract_y
_atom_site_fract_z
_atom_site_occupancy
Y1 0.1313 0.0000 0.2828 1
Tm1 0.0000 0.5000 0.5000 1
Tm2 0.1257 0.5000 0.9448 1
Sb1 0.1720 0.0000 0.6943 1